(1)
A plane-wave DFT calculation with PBE+U was carried out for crystalline Na3Dy2FeO6 at its relaxed geometry.

a b c (Å): 5.734 5.734 5.859
angles (deg): 99.20 99.20 120.10
Fractional coordinates of all 12 atoms:
1 O 0.755 0.755 0.205
2 O 0.381 0.069 0.209
3 O 0.069 0.381 0.209
4 O 0.245 0.245 0.795
5 O 0.619 0.931 0.791
6 O 0.931 0.619 0.791
7 Dy 0.667 0.333 0.000
8 Dy 0.333 0.667 0.000
9 Na 0.844 0.156 0.500
10 Na 0.156 0.844 0.500
11 Na 0.500 0.500 0.500
12 Fe 0.000 0.000 0.000

---

(2)
A plane-wave DFT calculation with PBE+U was carried out for crystalline Na4Dy3FeO8 at its relaxed geometry.

a b c (Å): 6.681 6.765 6.681
angles (deg): 119.60 120.00 90.00
Fractional coordinates of all 16 atoms:
1 O 0.246 0.292 0.019
2 O 0.738 0.713 0.475
3 O 0.773 0.292 0.546
4 O 0.227 0.708 0.981
5 O 0.262 0.287 0.525
6 O 0.773 0.292 0.019
7 O 0.227 0.708 0.454
8 O 0.754 0.708 0.981
9 Dy 0.500 0.500 0.500
10 Dy 0.000 0.500 0.500
11 Dy 0.500 0.500 0.000
12 Na 0.000 0.000 0.500
13 Na 0.500 0.000 0.500
14 Na 0.500 0.000 0.000
15 Na 0.000 0.000 0.000
16 Fe 0.000 0.500 0.000

---

(3)
A plane-wave DFT calculation with PBE+U was carried out for crystalline NaDyFe4O12 at its relaxed geometry.

a b c (Å): 5.333 5.333 7.415
angles (deg): 90.00 90.00 92.16
Fractional coordinates of all 18 atoms:
1 O 0.248 0.752 0.306
2 O 0.248 0.752 0.694
3 O 0.271 0.269 0.765
4 O 0.752 0.248 0.821
5 O 0.929 0.426 0.500
6 O 0.574 0.071 0.500
7 O 0.731 0.729 0.235
8 O 0.752 0.248 0.179
9 O 0.062 0.555 0.000
10 O 0.731 0.729 0.765
11 O 0.271 0.269 0.235
12 O 0.445 0.938 0.000
13 Fe 0.503 0.001 0.745
14 Fe 0.999 0.497 0.255
15 Fe 0.503 0.001 0.255
16 Fe 0.999 0.497 0.745
17 Dy 0.497 0.503 0.000
18 Na 0.006 0.994 0.500

---

(4)
A plane-wave DFT calculation with PBE+U was carried out for crystalline NaPrDyFeO6 at its relaxed geometry.

a b c (Å): 5.683 5.683 5.683
angles (deg): 60.00 60.00 60.00
Fractional coordinates of all 10 atoms:
1 O 0.731 0.731 0.269
2 O 0.269 0.269 0.731
3 O 0.731 0.269 0.731
4 O 0.269 0.731 0.269
5 O 0.731 0.269 0.269
6 O 0.269 0.731 0.731
7 Fe 0.500 0.500 0.500
8 Pr 0.750 0.750 0.750
9 Na 0.250 0.250 0.250
10 Dy 0.000 0.000 0.000

---

In the order shown, the computed uncorrected energy values come out to -0.2355 -0.2381 -0.2185 -0.2467 hartree per atom.
In the order shown, the computed size of the total moment values come out to 4.9 5.0 16.1 3.0 μB per cell.